Density functional theory data (PBE with a Hubbard U) for a relaxed Mn2RuPbO8 crystal.

Computed properties:
Its total magnetization is 0.471 μB per atom. Its raw total energy is -6.714 eV/atom. The space group is Cmmm (65).

Unit cell a=4.6255 b=4.6209 c=6.4584 alpha=90.00 beta=90.00 gamma=89.66
Last column: nearest neighbours and their distance in Å.
Fractional positions:
1 Mn 0.5000 0.5000 0.7592  6 O 1.94-2.04
2 Mn 0.5000 0.5000 0.2408  6 O 1.94-2.04
3 Ru 0.0000 0.0000 0.0000  6 O 1.95-1.96
4 Pb 0.0000 0.0000 0.5000  6 O 2.14-2.22
5 O 0.2027 0.7959 0.2236  1 Mn 1.94, 1 Ru 1.96
6 O 0.7013 0.7026 0.0000  1 Ru 1.95, 2 Mn 2.04
7 O 0.7973 0.2041 0.2236  1 Mn 1.94, 1 Ru 1.96
8 O 0.7973 0.2041 0.7764  1 Mn 1.94, 1 Ru 1.96
9 O 0.2987 0.2974 0.0000  1 Ru 1.95, 2 Mn 2.04
10 O 0.2027 0.7959 0.7764  1 Mn 1.94, 1 Ru 1.96
11 O 0.6732 0.6742 0.5000  2 Mn 2.02, 1 Pb 2.14
12 O 0.3268 0.3258 0.5000  2 Mn 2.02, 1 Pb 2.14